Material: NaLiCr2O4
Method: DFT, PBE with a Hubbard U
State: relaxed

Unit cell a=4.7577 b=4.7577 c=5.6083 alpha=115.10 beta=115.10 gamma=90.00
Fractional coordinates of all 8 atoms:
Cr  0.2500  0.7500  0.5001
Li  0.5000  0.5000  0.0000
O  0.8749  0.4222  0.2971
O  0.4222  0.8749  0.2971
O  0.5779  0.5779  0.7031
Na  0.0000  0.0000  0.0001
O  0.1252  0.1252  0.7031
Cr  0.7500  0.2500  0.5001

## Properties
For the energy, the calculation gives -51.088 eV for the cell shown. As for the symmetry: No. 121.